1.
## OsRh2Se (PBE)

Data for an optimized crystal structure of OsRh2Se.

Its formation energy from raw total energies is 0.345 eV/atom. Its symmetry is C2/m, No. 12. As for the crystal system: monoclinic. The calculation puts the total magnetization at 0.00 μB per cell.

a = 4.7819 Å, b = 4.7819 Å, c = 4.5764 Å
α = 85.88°, β = 85.88°, γ = 35.37°
Fractional positions:
Se 0.7500 0.7500 0.7500
Rh 0.5186 0.5186 0.4866
Rh 0.9814 0.9814 0.0134
Os 0.2500 0.2500 0.2500

---

2.
## Os3RhSe (PBE)

Data for an optimized crystal structure of Os3RhSe.

Its formation energy from raw total energies is 2.575 eV/atom. Its symmetry is Pm-3m, No. 221. As for the crystal system: cubic. Its energy relative to the lowest polymorph listed for this composition is 321 kJ/mol of formula units. The calculation puts the total magnetization at 0.00 μB per cell.

a = 4.6876 Å, b = 4.6876 Å, c = 4.6876 Å
α = 90.00°, β = 90.00°, γ = 90.00°
Fractional positions:
Rh 0.0000 0.0000 0.0000
Os 0.0000 0.0000 0.5000
Os 0.5000 0.0000 0.0000
Os 0.0000 0.5000 0.0000
Se 0.5000 0.5000 0.5000

---

3.
## OsRh2Se (PBE)

Data for an optimized crystal structure of OsRh2Se.

Its formation energy from raw total energies is 0.284 eV/atom. Its symmetry is Cm, No. 8. As for the crystal system: monoclinic. The calculation puts the total magnetization at 0.00 μB per cell.

a = 4.7770 Å, b = 4.7770 Å, c = 4.8488 Å
α = 74.28°, β = 74.28°, γ = 34.83°
Fractional positions:
Rh 0.7596 0.7596 0.7275
Rh 0.9858 0.9858 0.0148
Se 0.5228 0.5228 0.5445
Os 0.2318 0.2318 0.2131

---

4.
## OsRh2Se (PBE)

Data for an optimized crystal structure of OsRh2Se.

Its formation energy from raw total energies is 0.463 eV/atom. Its symmetry is P4/mmm, No. 123. As for the crystal system: tetragonal. The calculation puts the total magnetization at 0.00 μB per cell.

a = 4.0144 Å, b = 3.8400 Å, c = 3.8400 Å
α = 90.00°, β = 90.00°, γ = 90.00°
Fractional positions:
Rh 0.0000 0.5000 0.5000
Rh 0.0000 0.0000 0.0000
Se 0.5000 0.5000 0.0000
Os 0.5000 0.0000 0.5000

---

5.
## OsRh2Se (PBE)

Data for an optimized crystal structure of OsRh2Se.

Its formation energy from raw total energies is 0.336 eV/atom. Its symmetry is P4mm, No. 99. As for the crystal system: tetragonal. The calculation puts the total magnetization at 0.00 μB per cell.

a = 2.9003 Å, b = 2.9003 Å, c = 7.0838 Å
α = 90.00°, β = 90.00°, γ = 90.00°
Fractional positions:
Os 0.5000 0.5000 0.7469
Rh 0.0000 0.0000 0.9898
Rh 0.5000 0.5000 0.2620
Se 0.0000 0.0000 0.5013

---

6.
## OsRhSe2 (PBE)

Data for an optimized crystal structure of OsRhSe2.

Its formation energy from raw total energies is 0.142 eV/atom. Its symmetry is P4mm, No. 99. As for the crystal system: tetragonal. Its energy relative to the lowest polymorph listed for this composition is 19 kJ/mol of formula units. The calculation puts the total magnetization at 0.00 μB per cell.

a = 3.0343 Å, b = 3.0343 Å, c = 8.0731 Å
α = 90.00°, β = 90.00°, γ = 90.00°
Fractional positions:
Se 0.0000 0.0000 0.9146
Se 0.5000 0.5000 0.3328
Os 0.0000 0.0000 0.4980
Rh 0.5000 0.5000 0.7546

---

7.
## OsRhSe2 (PBE)

Data for an optimized crystal structure of OsRhSe2.

Its formation energy from raw total energies is 0.331 eV/atom. Its symmetry is C2/m, No. 12. As for the crystal system: monoclinic. Its energy relative to the lowest polymorph listed for this composition is 92 kJ/mol of formula units. The calculation puts the total magnetization at 0.00 μB per cell.

a = 4.3203 Å, b = 4.3203 Å, c = 5.3052 Å
α = 78.29°, β = 78.29°, γ = 41.83°
Fractional positions:
Rh 0.2500 0.2500 0.2500
Se 0.4849 0.4849 0.5068
Se 0.0151 0.0151 0.9932
Os 0.7500 0.7500 0.7500

---

8.
## Th6OsRh2Se3 (PBE)

Data for an optimized crystal structure of Th6OsRh2Se3.

Its formation energy from raw total energies is -1.156 eV/atom. Its symmetry is C2/m, No. 12. As for the crystal system: monoclinic. The calculation puts the total magnetization at 0.00 μB per cell.

a = 4.1250 Å, b = 8.7559 Å, c = 9.6725 Å
α = 107.89°, β = 102.31°, γ = 90.00°
Fractional positions:
Rh 0.1679 0.3358 0.3357
Rh 0.8321 0.6642 0.6643
Se 0.8326 0.1671 0.6652
Se 0.1674 0.8329 0.3348
Se 0.5000 0.5000 0.0000
Th 0.9935 0.7712 0.9870
Th 0.6736 0.5665 0.3471
Th 0.0065 0.2288 0.0130
Th 0.6574 0.0984 0.3148
Th 0.3264 0.4335 0.6529
Th 0.3426 0.9016 0.6852
Os 0.5000 0.0000 0.0000

---

9.
## Th6Os3Rh2Se (PBE)

Data for an optimized crystal structure of Th6Os3Rh2Se.

Its formation energy from raw total energies is -0.667 eV/atom. Its symmetry is C2/m, No. 12. As for the crystal system: monoclinic. The calculation puts the total magnetization at 0.00 μB per cell.

a = 4.1288 Å, b = 8.3652 Å, c = 9.2534 Å
α = 102.75°, β = 102.89°, γ = 90.00°
Fractional positions:
Th 0.9986 0.2698 0.9972
Th 0.6665 0.5886 0.3330
Th 0.3335 0.4114 0.6670
Th 0.3252 0.9178 0.6504
Th 0.0014 0.7302 0.0028
Th 0.6748 0.0822 0.3496
Os 0.1616 0.8331 0.3232
Os 0.8384 0.1669 0.6768
Os 0.5000 0.5000 0.0000
Rh 0.8325 0.6663 0.6649
Rh 0.1675 0.3337 0.3351
Se 0.5000 0.0000 0.0000

---

10.
## Th4Os2RhSe (PBE)

Data for an optimized crystal structure of Th4Os2RhSe.

Its formation energy from raw total energies is -0.723 eV/atom. Its symmetry is P2/m, No. 10. As for the crystal system: monoclinic. The calculation puts the total magnetization at 0.00 μB per cell.

a = 4.1353 Å, b = 7.2737 Å, c = 7.2520 Å
α = 108.99°, β = 90.00°, γ = 90.00°
Fractional positions:
Os 0.5000 0.0000 0.5000
Os 0.0000 0.5000 0.5000
Th 0.5000 0.2669 0.2738
Th 0.5000 0.7331 0.7262
Th 0.0000 0.2517 0.7341
Th 0.0000 0.7483 0.2659
Se 0.0000 0.0000 0.0000
Rh 0.5000 0.5000 0.0000

---

11.
## Th8Os3RhSe4 (PBE)

Data for an optimized crystal structure of Th8Os3RhSe4.

Its formation energy from raw total energies is -1.093 eV/atom. Its symmetry is C2/m, No. 12. As for the crystal system: monoclinic. The calculation puts the total magnetization at 0.00 μB per cell.

a = 8.2468 Å, b = 8.7749 Å, c = 8.2499 Å
α = 118.08°, β = 119.99°, γ = 90.00°
Fractional positions:
Rh 0.0000 0.5000 0.0000
Os 0.0000 0.5000 0.5000
Os 0.5000 0.5000 0.5000
Os 0.5000 0.5000 0.0000
Se 0.5000 0.0000 0.5000
Se 0.0000 0.0000 0.5000
Se 0.0000 0.0000 0.0000
Se 0.5000 0.0000 0.0000
Th 0.2617 0.2860 0.5234
Th 0.2405 0.7138 0.4811
Th 0.7383 0.7140 0.4766
Th 0.7596 0.2861 0.0252
Th 0.7343 0.7139 0.9748
Th 0.2657 0.2861 0.0252
Th 0.2404 0.7139 0.9748
Th 0.7595 0.2862 0.5189

---

12.
## Tl2OsRhSe (PBE)

Data for an optimized crystal structure of Tl2OsRhSe.

Its formation energy from raw total energies is 0.980 eV/atom. Its symmetry is P4/mmm, No. 123. As for the crystal system: tetragonal. The calculation puts the total magnetization at 0.01 μB per cell.

a = 5.3553 Å, b = 4.5706 Å, c = 5.3553 Å
α = 90.00°, β = 90.00°, γ = 90.00°
Fractional positions:
Rh 0.5000 0.5000 0.5000
Os 0.0000 0.0000 0.0000
Se 0.0000 0.5000 0.0000
Tl 0.5000 0.0000 0.0000
Tl 0.0000 0.0000 0.5000

---

13.
## ZnOsRhSe2 (PBE)

Data for an optimized crystal structure of ZnOsRhSe2.

Its formation energy from raw total energies is 1.558 eV/atom. Its symmetry is P4/mmm, No. 123. As for the crystal system: tetragonal. The calculation puts the total magnetization at 2.89 μB per cell.

a = 4.6697 Å, b = 4.7218 Å, c = 4.6697 Å
α = 90.00°, β = 90.00°, γ = 90.00°
Fractional positions:
Zn 0.0000 0.0000 0.0000
Se 0.5000 0.0000 0.0000
Se 0.0000 0.0000 0.5000
Rh 0.5000 0.5000 0.5000
Os 0.0000 0.5000 0.0000

---

14.
## Si2OsRh (PBE)

Data for an optimized crystal structure of Si2OsRh.

Its formation energy from raw total energies is 0.255 eV/atom. Its symmetry is F-43m, No. 216. As for the crystal system: cubic. The calculation puts the total magnetization at 0.43 μB per cell.

a = 4.3056 Å, b = 4.3056 Å, c = 4.3056 Å
α = 60.00°, β = 60.00°, γ = 60.00°
Fractional positions:
Os 0.5000 0.5000 0.5000
Si 0.2500 0.2500 0.2500
Si 0.0000 0.0000 0.0000
Rh 0.7500 0.7500 0.7500

---

15.
## SiOsRh2 (PBE)

Data for an optimized crystal structure of SiOsRh2.

Its formation energy from raw total energies is -0.183 eV/atom. Its symmetry is Immm, No. 71. As for the crystal system: orthorhombic. The calculation puts the total magnetization at 0.00 μB per cell.

a = 4.9769 Å, b = 4.9769 Å, c = 4.9769 Å
α = 144.10°, β = 129.99°, γ = 63.08°
Fractional positions:
Rh 0.4704 0.4704 0.0000
Rh 0.0296 0.0296 0.0000
Os 0.7500 0.2500 0.5000
Si 0.2500 0.7500 0.5000

---

16.
## SiOs2Rh (PBE)

Data for an optimized crystal structure of SiOs2Rh.

Its formation energy from raw total energies is 1.030 eV/atom. Its symmetry is I-42d, No. 122. As for the crystal system: tetragonal. The calculation puts the total magnetization at 0.00 μB per cell.

a = 5.4931 Å, b = 5.4931 Å, c = 6.6458 Å
α = 65.59°, β = 65.59°, γ = 90.00°
Fractional positions:
Rh 0.0000 0.0000 0.0000
Rh 0.7500 0.2500 0.5000
Si 0.2500 0.7500 0.5000
Si 0.5000 0.5000 0.0000
Os 0.1329 0.6250 0.2500
Os 0.8750 0.8671 0.7500
Os 0.3750 0.3829 0.7500
Os 0.6171 0.1250 0.2500

---

17.
## SiOs2Rh (PBE)

Data for an optimized crystal structure of SiOs2Rh.

Its formation energy from raw total energies is -0.003 eV/atom. Its symmetry is R-3m, No. 166. As for the crystal system: trigonal. The calculation puts the total magnetization at 0.00 μB per cell.

a = 8.4638 Å, b = 8.4638 Å, c = 8.4638 Å
α = 18.87°, β = 18.87°, γ = 18.87°
Fractional positions:
Os 0.4941 0.4941 0.4941
Os 0.0059 0.0059 0.0059
Rh 0.2500 0.2500 0.2500
Si 0.7500 0.7500 0.7500

---

18.
## SiOsRh2 (PBE)

Data for an optimized crystal structure of SiOsRh2.

Its formation energy from raw total energies is 0.079 eV/atom. Its symmetry is Cmm2, No. 35. As for the crystal system: orthorhombic. The calculation puts the total magnetization at 0.00 μB per cell.

a = 2.7603 Å, b = 2.7603 Å, c = 8.5131 Å
α = 90.00°, β = 90.00°, γ = 118.74°
Fractional positions:
Os 0.5000 0.5000 0.7266
Rh 0.5000 0.5000 0.2781
Rh 0.0000 0.0000 0.9972
Si 0.0000 0.0000 0.4980

---

19.
## Si2OsRh (PBE)

Data for an optimized crystal structure of Si2OsRh.

Its formation energy from raw total energies is -0.441 eV/atom. Its symmetry is P4mm, No. 99. As for the crystal system: tetragonal. The calculation puts the total magnetization at 0.00 μB per cell.

a = 3.1552 Å, b = 3.1552 Å, c = 5.4941 Å
α = 90.00°, β = 90.00°, γ = 90.00°
Fractional positions:
Si 0.5000 0.5000 0.2595
Si 0.0000 0.0000 0.9854
Os 0.0000 0.0000 0.4390
Rh 0.5000 0.5000 0.8161

---

20.
## SiOs2Rh (PBE)

Data for an optimized crystal structure of SiOs2Rh.

Its formation energy from raw total energies is -0.013 eV/atom. Its symmetry is P2/m, No. 10. As for the crystal system: monoclinic. The calculation puts the total magnetization at 0.00 μB per cell.

a = 3.9759 Å, b = 2.7913 Å, c = 5.2867 Å
α = 72.54°, β = 90.00°, γ = 90.00°
Fractional positions:
Os 0.0000 0.6155 0.5150
Os 0.0000 0.8845 0.9850
Rh 0.5000 0.2500 0.2500
Si 0.5000 0.7500 0.7500

---

21.
## Si2OsRh (PBE)

Data for an optimized crystal structure of Si2OsRh.

Its formation energy from raw total energies is -0.515 eV/atom. Its symmetry is Cm, No. 8. As for the crystal system: monoclinic. The calculation puts the total magnetization at 0.00 μB per cell.

a = 4.6222 Å, b = 4.6222 Å, c = 4.2594 Å
α = 76.64°, β = 76.64°, γ = 36.95°
Fractional positions:
Os 0.4878 0.4878 0.5780
Rh 0.2590 0.2590 0.1754
Si 0.7519 0.7519 0.6881
Si 0.0013 0.0013 0.0585

---

22.
## SiOs2Rh (PBE)

Data for an optimized crystal structure of SiOs2Rh.

Its formation energy from raw total energies is -0.056 eV/atom. Its symmetry is Pmm2, No. 25. As for the crystal system: orthorhombic. The calculation puts the total magnetization at 0.00 μB per cell.

a = 2.7699 Å, b = 3.7455 Å, c = 5.3958 Å
α = 90.00°, β = 90.00°, γ = 90.00°
Fractional positions:
Os 0.5000 0.5000 0.2267
Os 0.0000 0.0000 0.0162
Si 0.5000 0.5000 0.7302
Rh 0.0000 0.0000 0.5270

---

23.
## SiOsRh (PBE)

Data for an optimized crystal structure of SiOsRh.

Its formation energy from raw total energies is -0.214 eV/atom. Its symmetry is P4/nmm, No. 129. As for the crystal system: tetragonal. Its energy relative to the lowest polymorph listed for this composition is 14 kJ/mol of formula units. The calculation puts the total magnetization at 0.00 μB per cell.

a = 3.9841 Å, b = 3.9841 Å, c = 5.6631 Å
α = 90.00°, β = 90.00°, γ = 90.00°
Fractional positions:
Rh 0.0000 0.0000 0.5000
Rh 0.5000 0.5000 0.5000
Os 0.0000 0.0000 0.0000
Os 0.5000 0.5000 0.0000
Si 0.0000 0.5000 0.2522
Si 0.5000 0.0000 0.7478

---

24.
## SiOsRh2 (PBE)

Data for an optimized crystal structure of SiOsRh2.

Its formation energy from raw total energies is -0.270 eV/atom. Its symmetry is Amm2, No. 38. As for the crystal system: orthorhombic. The calculation puts the total magnetization at 0.00 μB per cell.

a = 3.8567 Å, b = 2.8036 Å, c = 5.3294 Å
α = 74.71°, β = 90.00°, γ = 90.00°
Fractional positions:
Si 0.0000 0.7053 0.4616
Rh 0.5000 0.2919 0.2918
Rh 0.0000 0.9451 0.9866
Os 0.5000 0.5578 0.7599

---

25.
## Si2OsRh (PBE)

Data for an optimized crystal structure of Si2OsRh.

Its formation energy from raw total energies is -0.409 eV/atom. Its symmetry is P4/mmm, No. 123. As for the crystal system: tetragonal. The calculation puts the total magnetization at 0.00 μB per cell.

a = 4.1874 Å, b = 4.1874 Å, c = 2.9929 Å
α = 90.00°, β = 90.00°, γ = 89.98°
Fractional positions:
Si 0.5000 0.5000 0.0000
Si 0.0000 0.0000 0.0000
Os 0.5000 0.0000 0.5000
Rh 0.0000 0.5000 0.5000

---

26.
## SiOs2Rh (PBE)

Data for an optimized crystal structure of SiOs2Rh.

Its formation energy from raw total energies is 0.071 eV/atom. Its symmetry is I4/mmm, No. 139. As for the crystal system: tetragonal. The calculation puts the total magnetization at 0.00 μB per cell.

a = 4.6013 Å, b = 4.6013 Å, c = 4.6013 Å
α = 130.32°, β = 130.32°, γ = 72.90°
Fractional positions:
Si 0.7500 0.2500 0.5000
Os 0.0000 0.0000 0.0000
Os 0.5000 0.5000 0.0000
Rh 0.2500 0.7500 0.5000

---

27.
## Si2OsRh (PBE)

Data for an optimized crystal structure of Si2OsRh.

Its formation energy from raw total energies is -0.136 eV/atom. Its symmetry is Cmmm, No. 65. As for the crystal system: orthorhombic. The calculation puts the total magnetization at 0.00 μB per cell.

a = 2.8814 Å, b = 2.8814 Å, c = 7.6743 Å
α = 90.00°, β = 90.00°, γ = 118.10°
Fractional positions:
Rh 0.5000 0.5000 0.7500
Os 0.5000 0.5000 0.2500
Si 0.0000 0.0000 0.9977
Si 0.0000 0.0000 0.5023

---

28.
## SiOsRh (PBE)

Data for an optimized crystal structure of SiOsRh.

Its formation energy from raw total energies is -0.098 eV/atom. Its symmetry is Amm2, No. 38. As for the crystal system: orthorhombic. Its energy relative to the lowest polymorph listed for this composition is 47 kJ/mol of formula units. The calculation puts the total magnetization at 0.00 μB per cell.

a = 2.7231 Å, b = 3.8045 Å, c = 8.1674 Å
α = 90.00°, β = 90.00°, γ = 90.00°
Fractional positions:
Si 0.5000 0.5000 0.0514
Si 0.5000 0.0000 0.5514
Os 0.5000 0.0000 0.2390
Os 0.5000 0.5000 0.7390
Rh 0.0000 0.0000 0.9415
Rh 0.0000 0.5000 0.4415